Record 1
The following is a DFT calculation (GGA-PBE) of an optimized crystal structure of CdGa3Ag3.

Values from the calculation:
The formation energy comes out at 68 meV/atom. As for the density of states at the Fermi level: 9.0 states/eV/cell. As for the excess energy over the best structure of this formula in the dataset: 0.0100 eV/atom. For the calculated total energy, the calculation gives -2.5816 eV per atom. The volume is 142.9 Å³/f.u.

```
data_CdGa3Ag3
_cell_length_a 8.161
_cell_length_b 14.139
_cell_length_c 4.952
_cell_angle_alpha 90.00
_cell_angle_beta 90.00
_cell_angle_gamma 90.00
_symmetry_space_group_name_H-M 'C m c m'
_symmetry_Int_Tables_number 63
_symmetry_space_group_name_Hall '-C 2c 2'
loop_
_atom_site_label
_atom_site_type_symbol
_atom_site_fract_x
_atom_site_fract_y
_atom_site_fract_z
Cd1 Cd 0.000 0.167 0.250
Ga1 Ga 0.000 0.378 0.250
Ga2 Ga 0.184 0.439 0.750
Ag1 Ag 0.000 0.282 0.750
Ag2 Ag 0.172 0.109 0.750
```

***

Record 2
The following is a DFT calculation (GGA-PBE) of an optimized crystal structure of KZnTe2.

Values from the calculation:
As for the density of states at the Fermi level: 2.8 states/eV/cell. For the calculated total energy, the calculation gives -2.3511 eV per atom. The volume is 116.2 Å³/f.u.

```
data_KZnTe2
_cell_length_a 3.665
_cell_length_b 3.665
_cell_length_c 8.650
_cell_angle_alpha 90.00
_cell_angle_beta 90.00
_cell_angle_gamma 90.00
_symmetry_space_group_name_H-M 'P 4/m m m'
_symmetry_Int_Tables_number 123
_symmetry_space_group_name_Hall '-P 4 2'
loop_
_atom_site_label
_atom_site_type_symbol
_atom_site_fract_x
_atom_site_fract_y
_atom_site_fract_z
K1 K 0.000 0.000 0.000
Zn1 Zn 0.000 0.000 0.500
Te1 Te 0.500 0.500 0.297
```

***

Record 3
The following is a DFT calculation (GGA-PBE) of an optimized crystal structure of Sr2UReN6.

Values from the calculation:
As for the density of states at the Fermi level: 7.1 states/eV/cell. For the calculated total energy, the calculation gives -8.3381 eV per atom. The volume is 141.9 Å³/f.u.

```
data_Sr2UReN6
_cell_length_a 4.102
_cell_length_b 4.102
_cell_length_c 8.431
_cell_angle_alpha 90.00
_cell_angle_beta 90.00
_cell_angle_gamma 90.00
_symmetry_space_group_name_H-M 'P 4/m m m'
_symmetry_Int_Tables_number 123
_symmetry_space_group_name_Hall '-P 4 2'
loop_
_atom_site_label
_atom_site_type_symbol
_atom_site_fract_x
_atom_site_fract_y
_atom_site_fract_z
Sr1 Sr 0.000 0.000 0.231
U1 U 0.500 0.500 0.500
Re1 Re 0.500 0.500 0.000
N1 N 0.000 0.500 0.000
N2 N 0.000 0.500 0.500
N3 N 0.500 0.500 0.232
```

***

Record 4
The following is a DFT calculation (GGA-PBE) of an optimized crystal structure of BC5.

Values from the calculation:
The formation energy comes out at 265 meV/atom. As for the density of states at the Fermi level: 2.2 states/eV/cell. As for the excess energy over the best structure of this formula in the dataset: 0.0559 eV/atom. For the calculated total energy, the calculation gives -8.5346 eV per atom. The volume is 36.2 Å³/f.u.

```
data_BC5
_cell_length_a 4.531
_cell_length_b 2.510
_cell_length_c 6.364
_cell_angle_alpha 90.00
_cell_angle_beta 91.50
_cell_angle_gamma 90.00
_symmetry_space_group_name_H-M 'P 1 m 1'
_symmetry_Int_Tables_number 6
loop_
_symmetry_equiv_pos_as_xyz
'x,y,z'
'x,-y,z'
loop_
_atom_site_label
_atom_site_type_symbol
_atom_site_fract_x
_atom_site_fract_y
_atom_site_fract_z
B1 B 0.000 0.000 0.000
B2 B 0.326 0.000 0.329
C1 C 0.176 0.500 0.661
C2 C 0.196 0.500 0.899
C3 C 0.341 0.000 0.578
C4 C 0.514 0.500 0.985
C5 C 0.523 0.500 0.227
C6 C 0.673 0.000 0.659
C7 C 0.674 0.000 0.901
C8 C 0.833 0.500 0.328
C9 C 0.836 0.500 0.577
C10 C 0.992 0.000 0.249
```